(1)
The following is a DFT calculation (PBEsol) of a geometry-optimized Zn2HgOs structure.

## Properties
ΔH_f (0 K): 0.41 eV per atom
calculated volume: 61.37 Å³/cell
crystal system: tetragonal

a = 3.1579 Å, b = 3.1579 Å, c = 6.1535 Å
α = 90.00°, β = 90.00°, γ = 90.00°
Space group P4mm (No. 99)
Symmetry-distinct sites (fractional):
Zn  0.0000  0.0000  0.0000 [1 per cell]
Zn  0.5000  0.5000  0.2285 [1 per cell]
Hg  0.0000  0.0000  0.5034 [1 per cell]
Os  0.5000  0.5000  0.8008 [1 per cell]


(2)
The following is a DFT calculation (PBEsol) of a geometry-optimized KHfSbTe2 structure.

## Properties
final energy: -5.09 eV/atom
calculated volume: 171.19 Å³/cell
crystal system: tetragonal

a = 5.5672 Å, b = 5.5672 Å, c = 5.5232 Å
α = 90.00°, β = 90.00°, γ = 90.00°
Space group P4/mmm (No. 123)
Symmetry-distinct sites (fractional):
K  0.0000  0.0000  0.0000 [1 per cell]
Hf  0.5000  0.5000  0.5000 [1 per cell]
Sb  0.5000  0.5000  0.0000 [1 per cell]
Te  0.0000  0.5000  0.5000 [2 per cell]


(3)
The following is a DFT calculation (PBEsol) of a geometry-optimized Cr2PIr2 structure.

## Properties
ΔH_f (0 K): 0.48 eV per atom
calculated volume: 143.78 Å³/cell
crystal system: tetragonal

a = 3.6468 Å, b = 3.6468 Å, c = 10.8111 Å
α = 90.00°, β = 90.00°, γ = 90.00°
Space group I4/mmm (No. 139)
Symmetry-distinct sites (fractional):
Cr  0.0000  0.0000  0.0964 [4 per cell]
P  0.0000  0.0000  0.5000 [2 per cell]
Ir  0.0000  0.5000  0.2500 [4 per cell]


(4)
The following is a DFT calculation (PBEsol) of a geometry-optimized Bi3OsSe structure.

## Properties
final energy: -4.14 eV/atom
calculated volume: 149.30 Å³/cell
crystal system: cubic

a = 5.3050 Å, b = 5.3050 Å, c = 5.3050 Å
α = 90.00°, β = 90.00°, γ = 90.00°
Space group Pm-3m (No. 221)
Symmetry-distinct sites (fractional):
Bi  0.0000  0.0000  0.5000 [3 per cell]
Os  0.5000  0.5000  0.5000 [1 per cell]
Se  0.0000  0.0000  0.0000 [1 per cell]


| no. | mass density (g/cm³) |
| --- | --- |
| 1 | 14.12 |
| 2 | 5.77 |
| 3 | 12.00 |
| 4 | 9.97 |